Record 1
SrSc2P after structural relaxation. Source: Alexandria, functional PBE.

Cell: 9.4950 9.4950 9.4950 Å, 23.02 23.02 23.02°
With the nearest neighbours (Å) after each atom.
Fractional coordinates of all 4 atoms:
Sr  0.5000  0.5000  0.5000  6 Sr 3.79, 6 Sc 3.92
P  0.0000  0.0000  0.0000  6 Sc 2.58
Sc  0.2839  0.2839  0.2839  3 P 2.58
Sc  0.7161  0.7161  0.7161  3 P 2.58

Calculated values
density	3.0	g/cm³
E	-5.53	eV/atom

Record 2
SrScP2 after structural relaxation. Source: Alexandria, functional PBE.

Cell: 5.2399 5.2399 3.0424 Å, 89.64 89.64 89.99°
With the nearest neighbours (Å) after each atom.
Fractional coordinates of all 4 atoms:
Sc  0.0000  0.0000  0.5000  8 P 3.02-3.04, 2 Sc 3.04
P  0.0000  0.5000  0.0000  4 Sr 3.02-3.04, 4 Sc 3.02-3.04, 2 P 3.04
Sr  0.5000  0.5000  0.5000  8 P 3.02-3.04, 2 Sr 3.04
P  0.5000  0.0000  0.0000  4 Sr 3.02-3.04, 4 Sc 3.02-3.04, 2 P 3.04

Calculated values
density	3.9	g/cm³
E	-5.40	eV/atom

Record 3
Sr3ScP after structural relaxation. Source: Alexandria, functional PBE.

Cell: 6.0581 6.0581 6.0581 Å, 90.00 90.00 90.00°
With the nearest neighbours (Å) after each atom.
Fractional coordinates of all 5 atoms:
Sr  0.0000  0.0000  0.5000  2 Sc 3.03
Sr  0.5000  0.0000  0.0000  2 Sc 3.03
Sc  0.0000  0.0000  0.0000  6 Sr 3.03
P  0.5000  0.5000  0.5000  12 Sr 4.28
Sr  0.0000  0.5000  0.0000  2 Sc 3.03

Calculated values
density	2.5	g/cm³
E	-2.46	eV/atom

Record 4
SrSc2P after structural relaxation. Source: Alexandria, functional PBE.

Cell: 8.6205 8.6205 6.8307 Å, 50.87 50.87 90.00°
With the nearest neighbours (Å) after each atom.
Fractional coordinates of all 8 atoms:
P  0.5000  0.5000  0.0000  4 Sc 2.62
Sr  0.7500  0.2500  0.5000  2 P 3.08, 4 Sc 3.40
Sc  0.8750  0.7718  0.7500  2 P 2.62
Sc  0.5218  0.1250  0.2500  2 P 2.62
P  0.2500  0.7500  0.5000  4 Sc 2.62
Sc  0.3750  0.4782  0.7500  2 P 2.62
Sr  0.0000  0.0000  0.0000  2 P 3.08, 4 Sc 3.40
Sc  0.2282  0.6250  0.2500  2 P 2.62

Calculated values
density	3.0	g/cm³
E	-5.23	eV/atom

Please write out number 2 again, unchanged.
SrScP2 after structural relaxation. Source: Alexandria, functional PBE.

Cell: 5.2399 5.2399 3.0424 Å, 89.64 89.64 89.99°
With the nearest neighbours (Å) after each atom.
Fractional coordinates of all 4 atoms:
Sc  0.0000  0.0000  0.5000  8 P 3.02-3.04, 2 Sc 3.04
P  0.0000  0.5000  0.0000  4 Sr 3.02-3.04, 4 Sc 3.02-3.04, 2 P 3.04
Sr  0.5000  0.5000  0.5000  8 P 3.02-3.04, 2 Sr 3.04
P  0.5000  0.0000  0.0000  4 Sr 3.02-3.04, 4 Sc 3.02-3.04, 2 P 3.04

Calculated values
density	3.9	g/cm³
E	-5.40	eV/atom